Entry from Alexandria via LeMat-Bulk: a relaxed structure of NiSb2TeO (GGA+U).

a b c (Å): 4.855 4.855 5.007
angles (deg): 90.00 90.00 90.00
Space group P4/mmm (No. 123)
Asymmetric unit:
Ni1 0.000 0.000 0.000
Sb1 0.000 0.500 0.000
Te1 0.000 0.000 0.500
O1 0.500 0.500 0.500

Total magnetic moment, μB per atom: 0.318
Crystal system: tetragonal
Polymorph energy (0 for the lowest one), eV per atom: 0.296